Entry 1:
4
Lattice="3.3736 0.0000 0.0000 0.0000 4.7378 0.0000 -1.6630 0.0000 5.9778" Properties=species:S:1:pos:R:3 comment="CaCrCd2 | Alexandria via LeMat-Bulk | PBE-GGA | optimized geometry" e_tot_ev_per_atom=-3.166 crystal_system=monoclinic e_form_mev_per_atom=198 sg="Pm, No. 6" rho_g_cm3=5.5 pbc="T T T"
Ca 0.0000 0.0000 0.0000
Cr 0.0065 2.3689 4.0028
Cd 1.6870 2.3689 1.3218
Cd 1.6770 0.0000 2.9636

Entry 2:
8
Lattice="-2.5294 2.5294 5.1701 2.5294 -2.5294 5.1701 2.5294 2.5294 -5.1701" Properties=species:S:1:pos:R:3 comment="CrFe2As | Alexandria via LeMat-Bulk | PBE-GGA | optimized geometry" e_tot_ev_per_atom=-6.972 crystal_system=tetragonal e_form_mev_per_atom=828 sg="I-42d, No. 122" rho_g_cm3=6.0 pbc="T T T"
Cr 0.0000 0.0000 0.0000
Cr 0.0000 2.5294 2.5850
Fe 3.7941 1.1633 -1.2925
Fe 1.1633 1.2647 1.2925
Fe -1.2647 1.3661 3.8776
Fe 1.3661 1.2647 6.4626
As 2.5294 0.0000 2.5850
As 0.0000 0.0000 5.1701

Entry 3:
5
Lattice="1.4588 0.8423 12.2571 -1.4588 0.8423 12.2571 0.0000 -1.6845 12.2571" Properties=species:S:1:pos:R:3 comment="Ta3Au2 | Alexandria via LeMat-Bulk | PBE-GGA | optimized geometry" e_tot_ev_per_atom=-8.304 crystal_system=trigonal e_form_mev_per_atom=119 sg="R-3m, No. 166" rho_g_cm3=17.2 pbc="T T T"
Ta 0.0000 0.0000 0.0000
Ta 0.0000 0.0000 7.4114
Ta 0.0000 0.0000 29.3601
Au 0.0000 0.0000 14.6776
Au 0.0000 0.0000 22.0938

Entry 4:
10
Lattice="-3.5578 3.5578 4.0408 3.5578 -3.5578 4.0408 3.5578 3.5578 -4.0408" Properties=species:S:1:pos:R:3 comment="Rb2OsPtF6 | Alexandria via LeMat-Bulk | PBE-GGA | optimized geometry" e_tot_ev_per_atom=-4.622 crystal_system=tetragonal raw_formation_energy_ev_per_atom=-1.5786 sg="I4/mmm, No. 139" rho_g_cm3=5.4 pbc="T T T"
Rb 3.5578 0.0000 2.0204
Rb 0.0000 3.5578 2.0204
Os 0.0000 0.0000 0.0000
Pt 0.0000 0.0000 4.0408
F 1.4013 1.4013 0.0000
F 2.1566 -2.1566 4.0408
F 0.0000 0.0000 2.0227
F 0.0000 0.0000 6.0590
F -2.1566 2.1566 4.0408
F 2.1566 2.1566 4.0408

Entry 5:
4
Lattice="0.0000 3.5989 3.5989 3.5989 0.0000 3.5989 3.5989 3.5989 0.0000" Properties=species:S:1:pos:R:3 comment="SmHoNiHg | Alexandria via LeMat-Bulk | PBE-GGA | optimized geometry" e_tot_ev_per_atom=-4.177 crystal_system=cubic e_form_mev_per_atom=-332 sg="F-43m, No. 216" rho_g_cm3=10.2 pbc="T T T"
Sm 0.0000 0.0000 0.0000
Ho 3.5989 3.5989 3.5989
Ni 5.3983 5.3983 5.3983
Hg 1.7994 1.7994 1.7994

Entry 6:
4
Lattice="0.0000 3.3906 3.3906 3.3906 0.0000 3.3906 3.3906 3.3906 0.0000" Properties=species:S:1:pos:R:3 comment="YHoCoIr | Alexandria via LeMat-Bulk | PBE-GGA | optimized geometry" e_tot_ev_per_atom=-7.264 crystal_system=cubic e_form_mev_per_atom=-512 sg="F-43m, No. 216" rho_g_cm3=10.8 pbc="T T T"
Y 0.0000 0.0000 0.0000
Ho 3.3906 3.3906 3.3906
Co 1.6953 1.6953 1.6953
Ir 5.0860 5.0860 5.0860

Entry 7:
3
Lattice="-1.7703 1.7703 6.0781 1.7703 -1.7703 6.0781 1.7703 1.7703 -6.0781" Properties=species:S:1:pos:R:3 comment="TbErPd | Alexandria via LeMat-Bulk | PBE-GGA | optimized geometry" e_tot_ev_per_atom=-5.354 de_polymorph_ev_per_atom=0.0042 crystal_system=tetragonal e_form_mev_per_atom=-558 sg="I4mm, No. 107" rho_g_cm3=9.4 pbc="T T T"
Tb 0.0000 0.0000 0.0000
Er 0.0000 0.0000 3.3591
Pd 0.0000 0.0000 7.8297

Entry 8:
11
Lattice="7.1023 -3.0977 0.0000 7.1023 3.0977 0.0000 -5.3753 0.0000 9.4716" Properties=species:S:1:pos:R:3 comment="Ca2AlBr8 | Alexandria via LeMat-Bulk | PBE-GGA | optimized geometry" e_tot_ev_per_atom=-3.221 crystal_system=monoclinic raw_formation_energy_ev_per_atom=-1.2999 sg="C2/m, No. 12" rho_g_cm3=3.0 pbc="T T T"
Ca 1.9717 0.0000 0.3870
Ca 6.8577 0.0000 9.0846
Al 4.4147 0.0000 4.7358
Br -0.3809 0.0000 1.9290
Br 3.0459 1.5640 3.6159
Br -0.5815 0.0000 9.3766
Br 5.7835 1.5640 5.8557
Br 3.0459 -1.5640 3.6159
Br 9.4109 0.0000 0.0950
Br 5.7835 -1.5640 5.8557
Br 9.2103 0.0000 7.5426

Listing Fermi-level density of states for the structures above in their given order: 2.72; 4.44; 5.68; 6.44; 2.75; 1.33; 2.57; 2.65 states/eV per cell.
Listing total magnetic moment for the structures above in their given order: 1.07; 0.00; 0.00; 0.20; 0.00; 0.13; 0.00; 0.00 μB/atom.